No. 1
The following is a DFT calculation (PBEsol) of a relaxed structure of YTiN2.

Properties
Calculated total energy   -76.5 eV/cell
Energy relative to the elements, uncorrected   -1.518 eV per atom
Crystal system   tetragonal

a = 4.924 Å, b = 4.924 Å, c = 5.914 Å
α = 114.60°, β = 114.60°, γ = 90.00°
Fractional positions:
N1 0.824 0.375 0.250
N2 0.426 0.875 0.250
N3 0.125 0.176 0.750
N4 0.625 0.574 0.750
Ti1 0.500 0.500 0.000
Ti2 0.750 0.250 0.500
Y1 0.000 0.000 0.000
Y2 0.250 0.750 0.500

***

No. 2
The following is a DFT calculation (PBEsol) of a relaxed structure of TiZnN2.

Properties
Calculated total energy   -30.0 eV/cell
Energy relative to the elements, uncorrected   -0.760 eV per atom
Crystal system   trigonal

a = 3.084 Å, b = 3.084 Å, c = 5.968 Å
α = 75.03°, β = 75.03°, γ = 60.00°
Fractional positions:
N1 0.106 0.106 0.683
N2 0.894 0.894 0.317
Ti1 0.500 0.500 0.500
Zn1 0.000 0.000 0.000

***

No. 3
The following is a DFT calculation (PBEsol) of a relaxed structure of TiZnN3.

Properties
Calculated total energy   -32.2 eV/cell
Energy relative to the elements, uncorrected   0.651 eV per atom
Crystal system   cubic

a = 3.888 Å, b = 3.888 Å, c = 3.888 Å
α = 90.00°, β = 90.00°, γ = 90.00°
Last column: magnetic moment on the atom in μB.
Fractional positions:
N1 0.000 0.000 0.500  0.37
N2 0.500 0.000 0.000  0.37
N3 0.000 0.500 0.000  0.37
Ti1 0.000 0.000 0.000  -0.04
Zn1 0.500 0.500 0.500  -0.02

***

No. 4
The following is a DFT calculation (PBEsol) of a relaxed structure of TiZnN2.

Properties
Calculated total energy   -61.5 eV/cell
Energy relative to the elements, uncorrected   -0.946 eV per atom
Crystal system   tetragonal

a = 4.557 Å, b = 4.557 Å, c = 5.587 Å
α = 114.07°, β = 114.07°, γ = 90.00°
Fractional positions:
N1 0.396 0.875 0.250
N2 0.125 0.146 0.750
N3 0.854 0.375 0.250
N4 0.625 0.604 0.750
Zn1 0.000 0.000 0.000
Zn2 0.250 0.750 0.500
Ti1 0.750 0.250 0.500
Ti2 0.500 0.500 0.000

***

No. 5
The following is a DFT calculation (PBEsol) of a relaxed structure of Ti2ZnN2.

Properties
Calculated total energy   -39.7 eV/cell
Energy relative to the elements, uncorrected   -0.893 eV per atom
Crystal system   tetragonal

a = 3.633 Å, b = 3.633 Å, c = 5.398 Å
α = 109.67°, β = 109.67°, γ = 90.00°
Fractional positions:
Zn1 0.000 0.000 0.000
N1 0.750 0.250 0.500
N2 0.250 0.750 0.500
Ti1 0.334 0.334 0.668
Ti2 0.666 0.666 0.332

***

No. 6
The following is a DFT calculation (PBEsol) of a relaxed structure of TiZn4N4.

Properties
Calculated total energy   -103.7 eV/cell
Energy relative to the elements, uncorrected   -0.346 eV per atom
Crystal system   triclinic

a = 5.415 Å, b = 5.443 Å, c = 7.991 Å
α = 72.06°, β = 79.25°, γ = 68.01°
Fractional positions:
Zn1 0.236 0.775 0.006
Zn2 0.242 0.953 0.564
Zn3 0.764 0.225 0.994
Zn4 0.709 0.821 0.801
Zn5 0.257 0.484 0.425
Zn6 0.291 0.179 0.199
Zn7 0.743 0.516 0.575
Zn8 0.758 0.047 0.436
N1 0.549 0.857 0.366
N2 0.451 0.143 0.634
N3 0.150 0.177 0.995
N4 0.539 0.530 0.810
N5 0.037 0.691 0.608
N6 0.963 0.309 0.392
N7 0.850 0.823 0.005
N8 0.461 0.470 0.190
Ti1 0.721 0.614 0.220
Ti2 0.279 0.386 0.780

***

No. 7
The following is a DFT calculation (PBEsol) of a relaxed structure of ZrTiN2.

Properties
Calculated total energy   -42.1 eV/cell
Energy relative to the elements, uncorrected   -1.902 eV per atom
Crystal system   trigonal

a = 3.107 Å, b = 3.107 Å, c = 5.370 Å
α = 73.19°, β = 73.19°, γ = 60.00°
Fractional positions:
Ti1 0.000 0.000 0.000
Zr1 0.500 0.500 0.500
N1 0.256 0.256 0.233
N2 0.744 0.744 0.767

***

No. 8
The following is a DFT calculation (PBEsol) of a relaxed structure of ZrTiN2.

Properties
Calculated total energy   -41.9 eV/cell
Energy relative to the elements, uncorrected   -1.871 eV per atom
Crystal system   tetragonal

a = 3.120 Å, b = 3.120 Å, c = 4.402 Å
α = 90.00°, β = 90.00°, γ = 90.00°
Fractional positions:
Ti1 0.500 0.500 0.500
N1 0.500 0.500 0.000
N2 0.000 0.000 0.500
Zr1 0.000 0.000 0.000

***

- What is the calculated total energy in the fourth record?
  -61.5 eV/cell